1.
VASP calculation (SCAN) on Li9Nb14S28 at its PBEsol-relaxed geometry.

Lattice parameters (Å, degrees): 5.7661 12.0145 13.2307 104.13 90.03 103.88
Closest atoms and distances in Å follow each position.
Positions (direct):
Li  0.0000  0.0000  0.0000  6 S 2.52-2.53
Li  0.0706  0.1422  0.4998  6 S 2.53
Li  0.2141  0.4281  0.5001  6 S 2.52-2.54
Li  0.2842  0.5704  0.9998  6 S 2.52-2.54
Li  0.4247  0.8515  0.9999  6 S 2.49-2.57
Li  0.5753  0.1485  0.0001  6 S 2.49-2.57
Li  0.7158  0.4296  0.0002  6 S 2.52-2.54
Li  0.7859  0.5719  0.4999  6 S 2.52-2.54
Li  0.9294  0.8578  0.5002  6 S 2.53
Nb  0.0360  0.0716  0.2499  6 S 2.48
Nb  0.1090  0.2143  0.7501  6 S 2.46-2.49
Nb  0.1795  0.3572  0.2500  6 S 2.47-2.48
Nb  0.2497  0.4999  0.7496  6 S 2.48
Nb  0.3232  0.6436  0.2509  6 S 2.47-2.49
Nb  0.3919  0.7856  0.7494  6 S 2.47-2.49
Nb  0.4657  0.9283  0.2507  6 S 2.46-2.49
Nb  0.5343  0.0717  0.7493  6 S 2.46-2.49
Nb  0.6081  0.2144  0.2506  6 S 2.47-2.49
Nb  0.6768  0.3564  0.7491  6 S 2.47-2.49
Nb  0.7503  0.5001  0.2504  6 S 2.48
Nb  0.8204  0.6428  0.7500  6 S 2.47-2.48
Nb  0.8910  0.7857  0.2499  6 S 2.46-2.49
Nb  0.9640  0.9284  0.7501  6 S 2.48
S  0.0076  0.6781  0.3721  3 Nb 2.47-2.49, 2 Li 2.53
S  0.0294  0.3911  0.8715  3 Nb 2.47-2.49, 2 Li 2.52-2.53
S  0.1127  0.8929  0.1281  3 Nb 2.47-2.49, 2 Li 2.53
S  0.1378  0.6089  0.6277  3 Nb 2.47-2.48, 2 Li 2.52-2.54
S  0.1501  0.9634  0.3717  3 Nb 2.47-2.48, 2 Li 2.53
S  0.1696  0.6771  0.8715  3 Nb 2.47-2.49, 2 Li 2.49-2.54
S  0.2568  0.1804  0.1280  3 Nb 2.47-2.49, 2 Li 2.53
S  0.2812  0.8941  0.6284  3 Nb 2.47-2.48, 1 Li 2.53
S  0.2935  0.2489  0.3720  3 Nb 2.47-2.48, 2 Li 2.53
S  0.3158  0.9637  0.8727  3 Nb 2.48-2.49, 3 Li 2.52-2.57
S  0.3984  0.4647  0.1284  3 Nb 2.47-2.49, 2 Li 2.53
S  0.4242  0.1791  0.6277  3 Nb 2.46-2.48, 1 Li 2.53
S  0.4341  0.5358  0.3725  3 Nb 2.47-2.48, 2 Li 2.52-2.53
S  0.4567  0.2497  0.8721  3 Nb 2.46-2.49, 2 Li 2.49-2.54
S  0.5433  0.7503  0.1279  3 Nb 2.46-2.49, 2 Li 2.49-2.54
S  0.5659  0.4642  0.6275  3 Nb 2.47-2.48, 2 Li 2.52-2.53
S  0.5758  0.8209  0.3723  3 Nb 2.46-2.48, 1 Li 2.53
S  0.6016  0.5353  0.8716  3 Nb 2.47-2.49, 2 Li 2.53
S  0.6842  0.0363  0.1273  3 Nb 2.48-2.49, 3 Li 2.52-2.57
S  0.7065  0.7511  0.6280  3 Nb 2.47-2.48, 2 Li 2.53
S  0.7188  0.1059  0.3716  3 Nb 2.47-2.48, 1 Li 2.53
S  0.7432  0.8196  0.8720  3 Nb 2.47-2.49, 2 Li 2.53
S  0.8304  0.3229  0.1285  3 Nb 2.47-2.49, 2 Li 2.49-2.54
S  0.8499  0.0366  0.6283  3 Nb 2.47-2.48, 2 Li 2.53
S  0.8622  0.3911  0.3723  3 Nb 2.47-2.48, 2 Li 2.52-2.54
S  0.8873  0.1071  0.8719  3 Nb 2.47-2.49, 2 Li 2.53
S  0.9706  0.6089  0.1285  3 Nb 2.47-2.49, 2 Li 2.52-2.53
S  0.9924  0.3219  0.6279  3 Nb 2.47-2.49, 2 Li 2.53

- Crystal system: triclinic
- SG: P-1, No. 2

---

2.
VASP calculation (SCAN) on Li3NbS4 at its PBEsol-relaxed geometry.

Lattice parameters (Å, degrees): 8.8297 8.8297 8.8297 109.47 109.47 109.47
Closest atoms and distances in Å follow each position.
Positions (direct):
Li  0.0000  0.2381  0.5011  6 S 2.54-2.69
Li  0.0000  0.5011  0.2381  6 S 2.54-2.69
Li  0.2381  0.0000  0.5011  6 S 2.54-2.69
Li  0.2381  0.5011  0.0000  6 S 2.54-2.69
Li  0.2630  0.7619  0.7619  6 S 2.54-2.69
Li  0.4989  0.4989  0.7370  6 S 2.54-2.69
Li  0.4989  0.7370  0.4989  6 S 2.54-2.69
Li  0.5011  0.0000  0.2381  6 S 2.54-2.69
Li  0.5011  0.2381  0.0000  6 S 2.54-2.69
Li  0.7370  0.4989  0.4989  6 S 2.54-2.69
Li  0.7619  0.2630  0.7619  6 S 2.54-2.69
Li  0.7619  0.7619  0.2630  6 S 2.54-2.69
Nb  0.0000  0.0000  0.7177  3 S 2.32
Nb  0.0000  0.7177  0.0000  3 S 2.32
Nb  0.2823  0.2823  0.2823  3 S 2.32
Nb  0.7177  0.0000  0.0000  3 S 2.32
S  0.0000  0.0000  0.2287  3 Li 2.61, 3 Nb 2.63
S  0.0000  0.2287  0.0000  3 Li 2.61, 3 Nb 2.63
S  0.0000  0.5130  0.7529  1 Nb 2.32, 4 Li 2.54-2.57
S  0.0000  0.7529  0.5130  1 Nb 2.32, 4 Li 2.54-2.57
S  0.2287  0.0000  0.0000  3 Li 2.61, 3 Nb 2.63
S  0.2399  0.4870  0.4870  1 Nb 2.32, 4 Li 2.54-2.57
S  0.2471  0.2471  0.7601  1 Nb 2.32, 4 Li 2.54-2.57
S  0.2471  0.7601  0.2471  1 Nb 2.32, 4 Li 2.54-2.57
S  0.4870  0.2399  0.4870  1 Nb 2.32, 4 Li 2.54-2.57
S  0.4870  0.4870  0.2399  1 Nb 2.32, 4 Li 2.54-2.57
S  0.5130  0.0000  0.7529  1 Nb 2.32, 4 Li 2.54-2.57
S  0.5130  0.7529  0.0000  1 Nb 2.32, 4 Li 2.54-2.57
S  0.7529  0.0000  0.5130  1 Nb 2.32, 4 Li 2.54-2.57
S  0.7529  0.5130  0.0000  1 Nb 2.32, 4 Li 2.54-2.57
S  0.7601  0.2471  0.2471  1 Nb 2.32, 4 Li 2.54-2.57
S  0.7713  0.7713  0.7713  3 Li 2.61, 3 Nb 2.63

- Crystal system: cubic
- SG: I-43m, No. 217
- Distance to the lowest polymorph of the same formula: 0 meV/atom

---

3.
VASP calculation (SCAN) on Li3NbS4 at its PBEsol-relaxed geometry.

Lattice parameters (Å, degrees): 6.0114 6.0114 6.0114 90.00 90.00 90.00
Closest atoms and distances in Å follow each position.
Positions (direct):
Li  0.0000  0.0000  0.5000  4 S 2.51
Li  0.0000  0.5000  0.0000  4 S 2.51
Li  0.5000  0.0000  0.0000  4 S 2.51
Nb  0.0000  0.0000  0.0000  4 S 2.27
S  0.2184  0.2184  0.2184  1 Nb 2.27, 3 Li 2.51
S  0.2184  0.7816  0.7816  1 Nb 2.27, 3 Li 2.51
S  0.7816  0.2184  0.7816  1 Nb 2.27, 3 Li 2.51
S  0.7816  0.7816  0.2184  1 Nb 2.27, 3 Li 2.51

- Crystal system: cubic
- SG: P-43m, No. 215
- Distance to the lowest polymorph of the same formula: 52 meV/atom

---

4.
VASP calculation (SCAN) on Li3NbS at its PBEsol-relaxed geometry.

Lattice parameters (Å, degrees): 4.5502 4.5502 4.5502 90.00 90.00 90.00
Closest atoms and distances in Å follow each position.
Positions (direct):
Li  0.0000  0.0000  0.5000  2 S 2.28
Li  0.0000  0.5000  0.0000  2 S 2.28
Li  0.5000  0.0000  0.0000  2 S 2.28
Nb  0.5000  0.5000  0.5000  12 Li 3.22
S  0.0000  0.0000  0.0000  6 Li 2.28

- Crystal system: cubic
- SG: Pm-3m, No. 221

---

5.
VASP calculation (SCAN) on Li3NbS4 at its PBEsol-relaxed geometry.

Lattice parameters (Å, degrees): 6.2428 6.2428 6.9657 90.00 90.00 73.19
Closest atoms and distances in Å follow each position.
Positions (direct):
Li  0.0000  0.5000  0.0000  6 S 2.51-2.57
Li  0.0000  0.5000  0.5000  6 S 2.51-2.57
Li  0.0078  0.9922  0.7500  6 S 2.60-2.62
Li  0.5000  0.0000  0.0000  6 S 2.51-2.57
Li  0.5000  0.0000  0.5000  6 S 2.51-2.57
Li  0.9922  0.0078  0.2500  6 S 2.60-2.62
Nb  0.4732  0.5268  0.7500  6 S 2.39-2.60
Nb  0.5268  0.4732  0.2500  6 S 2.39-2.60
S  0.2572  0.2641  0.2500  1 Nb 2.41, 5 Li 2.53-2.61
S  0.2613  0.7387  0.0073  2 Nb 2.39-2.60, 4 Li 2.51-2.62
S  0.2613  0.7387  0.4927  2 Nb 2.39-2.60, 4 Li 2.51-2.62
S  0.2641  0.2572  0.7500  1 Nb 2.41, 5 Li 2.53-2.61
S  0.7359  0.7428  0.2500  1 Nb 2.41, 5 Li 2.53-2.61
S  0.7387  0.2613  0.5073  2 Nb 2.39-2.60, 4 Li 2.51-2.62
S  0.7387  0.2613  0.9927  2 Nb 2.39-2.60, 4 Li 2.51-2.62
S  0.7428  0.7359  0.7500  1 Nb 2.41, 5 Li 2.53-2.61

- Crystal system: orthorhombic
- SG: Cmcm, No. 63
- Distance to the lowest polymorph of the same formula: 62 meV/atom

---

6.
VASP calculation (SCAN) on Li3NbS4 at its PBEsol-relaxed geometry.

Lattice parameters (Å, degrees): 13.5613 13.2687 18.2536 47.81 46.46 85.73
Closest atoms and distances in Å follow each position.
Positions (direct):
Li  0.0000  0.0000  0.0000  4 S 2.52-2.61
Li  0.1801  0.3701  0.5718  6 S 2.54-2.68
Li  0.1850  0.8737  0.3767  6 S 2.50-2.77
Li  0.2285  0.7059  0.2816  4 S 2.47-2.60
Li  0.2500  0.2500  0.2500  4 S 2.52-2.61
Li  0.3403  0.4589  0.8613  6 S 2.56-2.84
Li  0.3701  0.1801  0.8780  6 S 2.54-2.68
Li  0.3720  0.6782  0.8799  6 S 2.54-2.68
Li  0.3887  0.9105  0.9097  6 S 2.56-2.84
Li  0.4063  0.8910  0.4155  6 S 2.63-2.89
Li  0.4589  0.3403  0.3395  6 S 2.56-2.84
Li  0.4660  0.9684  0.5441  4 S 2.47-2.60
Li  0.4983  0.4983  0.5017  4 S 2.55-2.61
Li  0.6782  0.3720  0.0699  6 S 2.54-2.68
Li  0.6854  0.8733  0.3763  6 S 2.50-2.77
Li  0.7059  0.2285  0.7840  4 S 2.47-2.60
Li  0.7483  0.7483  0.7517  4 S 2.55-2.61
Li  0.8345  0.9628  0.8437  6 S 2.63-2.89
Li  0.8733  0.6854  0.0650  6 S 2.50-2.77
Li  0.8737  0.1850  0.5646  6 S 2.50-2.77
Li  0.8910  0.4063  0.2872  6 S 2.63-2.89
Li  0.9105  0.3887  0.7911  6 S 2.56-2.84
Li  0.9628  0.8345  0.3590  6 S 2.63-2.89
Li  0.9684  0.4660  0.0215  4 S 2.47-2.60
Nb  0.0488  0.8394  0.6810  4 S 2.27-2.28
Nb  0.0704  0.3232  0.9171  4 S 2.27-2.29
Nb  0.3232  0.0704  0.6892  4 S 2.27-2.29
Nb  0.3329  0.5608  0.1796  4 S 2.27-2.29
Nb  0.5608  0.3329  0.9268  4 S 2.27-2.29
Nb  0.5690  0.8192  0.2012  4 S 2.27-2.28
Nb  0.8192  0.5690  0.4106  4 S 2.27-2.28
Nb  0.8394  0.0488  0.4308  4 S 2.27-2.28
S  0.0076  0.9786  0.4083  1 Nb 2.27
S  0.0101  0.6756  0.6807  1 Nb 2.28
S  0.0592  0.3653  0.1236  1 Nb 2.27, 1 Li 2.52
S  0.0776  0.1268  0.0717  1 Nb 2.29, 1 Li 2.54
S  0.0898  0.3668  0.4843  1 Nb 2.28
S  0.1264  0.7981  0.1908  1 Nb 2.27, 1 Li 2.52
S  0.1268  0.0776  0.7239  1 Nb 2.29, 1 Li 2.54
S  0.1423  0.3393  0.7525  1 Nb 2.27, 1 Li 2.52
S  0.1783  0.5261  0.1724  1 Nb 2.29, 1 Li 2.54
S  0.1910  0.7657  0.8832  1 Nb 2.28
S  0.2612  0.6831  0.4087  1 Nb 2.28, 2 Li 2.47-2.50
S  0.2837  0.6316  0.7058  1 Nb 2.27
S  0.3393  0.1423  0.7659  1 Nb 2.27, 1 Li 2.52
S  0.3653  0.0592  0.4519  1 Nb 2.27, 1 Li 2.52
S  0.3668  0.0898  0.0590  1 Nb 2.28
S  0.4841  0.4975  0.9107  1 Nb 2.27, 1 Li 2.52
S  0.4975  0.4841  0.1077  1 Nb 2.27, 1 Li 2.52
S  0.5261  0.1783  0.1232  1 Nb 2.29, 1 Li 2.54
S  0.5442  0.8711  0.9663  1 Nb 2.27
S  0.5693  0.6164  0.2399  1 Nb 2.28
S  0.6029  0.8413  0.5669  1 Nb 2.28, 2 Li 2.47-2.50
S  0.6164  0.5693  0.5744  1 Nb 2.28
S  0.6316  0.2837  0.3789  1 Nb 2.27
S  0.6445  0.8417  0.2714  1 Nb 2.27
S  0.6756  0.0101  0.6336  1 Nb 2.28
S  0.6831  0.2612  0.6471  1 Nb 2.28, 2 Li 2.47-2.50
S  0.7657  0.1910  0.1602  1 Nb 2.28
S  0.7981  0.1264  0.8847  1 Nb 2.27, 1 Li 2.52
S  0.8413  0.6029  0.9888  1 Nb 2.28, 2 Li 2.47-2.50
S  0.8417  0.6445  0.2424  1 Nb 2.27
S  0.8711  0.5442  0.6184  1 Nb 2.27
S  0.9786  0.0076  0.6055  1 Nb 2.27

- Crystal system: orthorhombic
- SG: Fdd2, No. 43
- Distance to the lowest polymorph of the same formula: 63 meV/atom

---

no.,ΔE_f (raw) (eV per atom)
1,-1.401
2,-1.322
3,-1.270
4,0.085
5,-1.260
6,-1.259